A PBEsol-optimized structure of CrCoSeBr2. Source: the Alexandria database, functional SCAN.

Crystal system   tetragonal
Space-group type   P4/mmm
Uncorrected formation energy   89 meV/atom
E   -94.24 eV for the cell shown
M_tot   2.51 μB per formula unit

Cell and atoms, written as extended XYZ:
```
5
Lattice="4.823 0.000 0.000 0.000 4.823 0.000 0.000 0.000 4.607" Properties=species:S:1:pos:R:3 pbc="T T T"
Cr 0.000 0.000 0.000
Co 2.411 2.411 2.303
Se 2.411 2.411 0.000
Br 0.000 2.411 2.303
Br 2.411 0.000 2.303
```

A PBEsol-optimized structure of BaNb3Pd. Source: the Alexandria database, functional SCAN.

Crystal system   cubic
Space-group type   Pm-3m
E_form   1.18 eV per atom
E   -165.80 eV for the cell shown
M_tot   0.00 μB per formula unit

Cell and atoms, written as extended XYZ:
```
5
Lattice="4.985 0.000 0.000 0.000 4.985 0.000 0.000 0.000 4.985" Properties=species:S:1:pos:R:3 pbc="T T T"
Ba 0.000 0.000 0.000
Nb 0.000 2.492 2.492
Nb 2.492 0.000 2.492
Nb 2.492 2.492 0.000
Pd 2.492 2.492 2.492
```

A PBEsol-optimized structure of Ta2AlGaOs. Source: the Alexandria database, functional SCAN.

Crystal system   tetragonal
Space-group type   P4/mmm
E_form   1.59 eV per atom
E   -221.19 eV for the cell shown
M_tot   0.00 μB per formula unit

Cell and atoms, written as extended XYZ:
```
5
Lattice="4.644 0.000 0.000 0.000 4.644 0.000 0.000 0.000 4.232" Properties=species:S:1:pos:R:3 pbc="T T T"
Ta 0.000 2.322 0.000
Ta 2.322 0.000 0.000
Al 0.000 0.000 0.000
Ga 0.000 0.000 2.116
Os 2.322 2.322 2.116
```